# 1
Computed, not measured: crystalline HoCuGe2Ru at its relaxed geometry at the PBE level of DFT.

DOS at the Fermi energy ... 0.556 states/eV/atom
Formation enthalpy at 0 K ... -0.48 eV per atom
E ... -5.920 eV per atom
Space group ... I-4m2

The structure in POSCAR format:
```
HoCuGe2Ru
1.0
-2.0359 2.0359 5.2417
2.0359 -2.0359 5.2417
2.0359 2.0359 -5.2417
Ho Cu Ge Ru
1 1 2 1
Direct
0.0000 0.0000 0.0000 Ho
0.7500 0.2500 0.5000 Cu
0.3805 0.3805 0.0000 Ge
0.6195 0.6195 0.0000 Ge
0.2500 0.7500 0.5000 Ru
```

# 2
Computed, not measured: crystalline PuNb2Si at its relaxed geometry at the PBE level of DFT.

DOS at the Fermi energy ... 1.752 states/eV/atom
E ... -9.703 eV per atom
Formation energy without anion corrections ... 0.27 eV per atom
Space group ... R-3m

The structure in POSCAR format:
```
PuNb2Si
1.0
1.4552 0.8402 10.2278
-1.4552 0.8402 10.2278
0.0000 -1.6803 10.2278
Pu Nb Si
1 2 1
Direct
0.0000 0.0000 0.0000 Pu
0.0956 0.0956 0.0956 Nb
0.9044 0.9044 0.9044 Nb
0.5000 0.5000 0.5000 Si
```

# 3
Computed, not measured: crystalline BeGaCl3 at its relaxed geometry at the PBE level of DFT.

DOS at the Fermi energy ... 0.000 states/eV/atom
Excess energy over the best structure of this formula in the dataset ... 127.1 kJ/mol of formula units
E ... -3.277 eV per atom
Formation energy without anion corrections ... -0.82 eV per atom
Space group ... Pm-3m

The structure in POSCAR format:
```
BeGaCl3
1.0
4.6086 0.0000 0.0000
0.0000 4.6086 0.0000
0.0000 0.0000 4.6086
Be Ga Cl
1 1 3
Direct
0.0000 0.0000 0.0000 Be
0.5000 0.5000 0.5000 Ga
0.0000 0.0000 0.5000 Cl
0.0000 0.5000 0.0000 Cl
0.5000 0.0000 0.0000 Cl
```

# 4
Computed, not measured: crystalline SrTeSe3 at its relaxed geometry at the PBE level of DFT.

DOS at the Fermi energy ... 0.059 states/eV/atom
Excess energy over the best structure of this formula in the dataset ... 0.0 kJ/mol of formula units
E ... -3.886 eV per atom
Formation energy without anion corrections ... -0.83 eV per atom
Space group ... Pnma

The structure in POSCAR format:
```
SrTeSe3
1.0
8.7225 0.0000 0.0000
0.0000 4.2253 0.0000
0.0000 0.0000 15.0761
Sr Te Se
4 4 12
Direct
0.0879 0.2500 0.1768 Sr
0.4121 0.7500 0.6768 Sr
0.5879 0.2500 0.3232 Sr
0.9121 0.7500 0.8232 Sr
0.1710 0.7500 0.4368 Te
0.3290 0.2500 0.9368 Te
0.6710 0.7500 0.0632 Te
0.8290 0.2500 0.5632 Te
0.0301 0.7500 0.6197 Se
0.1361 0.7500 0.9989 Se
0.1885 0.2500 0.7802 Se
0.3115 0.7500 0.2802 Se
0.3639 0.2500 0.4989 Se
0.4699 0.2500 0.1197 Se
0.5301 0.7500 0.8803 Se
0.6361 0.7500 0.5011 Se
0.6885 0.2500 0.7198 Se
0.8115 0.7500 0.2198 Se
0.8639 0.2500 0.0011 Se
0.9699 0.2500 0.3803 Se
```

# 5
Computed, not measured: crystalline TbSm2Dy3Ho6 at its relaxed geometry at the PBE level of DFT.

DOS at the Fermi energy ... 1.285 states/eV/atom
Formation enthalpy at 0 K ... 0.02 eV per atom
E ... -4.595 eV per atom
Space group ... C2/m

The structure in POSCAR format:
```
TbSm2Dy3Ho6
1.0
3.0742 -5.3199 0.0000
3.0742 5.3199 0.0000
-2.0381 0.0000 11.5652
Tb Sm Dy Ho
1 2 3 6
Direct
0.0000 0.0000 0.0000 Tb
0.3334 0.6666 0.0000 Sm
0.6666 0.3334 0.0000 Sm
0.1666 0.8334 0.5000 Dy
0.5000 0.5000 0.5000 Dy
0.8334 0.1666 0.5000 Dy
0.0846 0.4176 0.2516 Ho
0.2484 0.2484 0.7482 Ho
0.4176 0.0846 0.2516 Ho
0.5824 0.9154 0.7484 Ho
0.7516 0.7516 0.2518 Ho
0.9154 0.5824 0.7484 Ho
```

# 6
Computed, not measured: crystalline Sm2PuSe4 at its relaxed geometry at the PBE level of DFT.

DOS at the Fermi energy ... 2.089 states/eV/atom
Excess energy over the best structure of this formula in the dataset ... 0.0 kJ/mol of formula units
E ... -7.137 eV per atom
Formation energy without anion corrections ... -1.75 eV per atom
Space group ... Imma

The structure in POSCAR format:
```
Sm2PuSe4
1.0
-4.1814 4.1958 5.8331
4.1814 -4.1958 5.8331
4.1814 4.1958 -5.8331
Sm Pu Se
4 2 8
Direct
0.0000 0.0000 0.0000 Sm
0.5000 0.0000 0.0000 Sm
0.5000 0.0000 0.5000 Sm
0.5000 0.5000 0.5000 Sm
0.0000 0.5000 0.5000 Pu
0.5000 0.5000 0.0000 Pu
0.2464 0.2473 0.5009 Se
0.2464 0.7455 0.9991 Se
0.2552 0.2493 0.0059 Se
0.2566 0.7507 0.5059 Se
0.7434 0.2493 0.4941 Se
0.7448 0.7507 0.9941 Se
0.7536 0.2545 0.0009 Se
0.7536 0.7527 0.4991 Se
```

# 7
Computed, not measured: crystalline Li2YAg2 at its relaxed geometry at the PBE level of DFT.

DOS at the Fermi energy ... 0.743 states/eV/atom
Formation enthalpy at 0 K ... -0.16 eV per atom
Excess energy over the best structure of this formula in the dataset ... 16.6 kJ/mol of formula units
E ... -3.363 eV per atom
Space group ... P4/mbm

The structure in POSCAR format:
```
Li2YAg2
1.0
7.8101 0.0000 0.0000
0.0000 7.8101 0.0000
0.0000 0.0000 3.1306
Li Y Ag
4 2 4
Direct
0.1148 0.3852 0.0000 Li
0.3852 0.8852 0.0000 Li
0.6148 0.1148 0.0000 Li
0.8852 0.6148 0.0000 Li
0.0000 0.0000 0.0000 Y
0.5000 0.5000 0.0000 Y
0.1823 0.6823 0.5000 Ag
0.3177 0.1823 0.5000 Ag
0.6823 0.8177 0.5000 Ag
0.8177 0.3177 0.5000 Ag
```

# 8
Computed, not measured: crystalline DyHgBi at its relaxed geometry at the PBE level of DFT.

DOS at the Fermi energy ... 0.522 states/eV/atom
Formation enthalpy at 0 K ... -0.37 eV per atom
Excess energy over the best structure of this formula in the dataset ... 18.4 kJ/mol of formula units
E ... -3.299 eV per atom
Space group ... I4/mmm

The structure in POSCAR format:
```
DyHgBi
1.0
-2.3485 2.3485 7.8467
2.3485 -2.3485 7.8467
2.3485 2.3485 -7.8467
Dy Hg Bi
2 2 2
Direct
0.1465 0.1465 0.0000 Dy
0.8535 0.8535 0.0000 Dy
0.3352 0.3352 0.0000 Hg
0.6648 0.6648 0.0000 Hg
0.0000 0.5000 0.5000 Bi
0.5000 0.0000 0.5000 Bi
```

# 9
Computed, not measured: crystalline BaSbRu2 at its relaxed geometry at the PBE level of DFT.

DOS at the Fermi energy ... 1.210 states/eV/atom
E ... -5.646 eV per atom
Formation energy without anion corrections ... 0.50 eV per atom
Space group ... Imm2

The structure in POSCAR format:
```
BaSbRu2
1.0
-1.5647 2.7082 5.3154
1.5647 -2.7082 5.3154
1.5647 2.7082 -5.3154
Ba Sb Ru
1 1 2
Direct
0.0000 0.0000 0.0000 Ba
0.7101 0.2101 0.5000 Sb
0.2963 0.7963 0.5000 Ru
0.4927 0.4927 0.0000 Ru
```

# 10
Computed, not measured: crystalline DyHoScRh at its relaxed geometry at the PBE level of DFT.

DOS at the Fermi energy ... 1.083 states/eV/atom
Formation enthalpy at 0 K ... -0.21 eV per atom
E ... -5.926 eV per atom
Space group ... F-43m

The structure in POSCAR format:
```
DyHoScRh
1.0
0.0000 3.5775 3.5775
3.5775 0.0000 3.5775
3.5775 3.5775 0.0000
Dy Ho Sc Rh
1 1 1 1
Direct
0.0000 0.0000 0.0000 Dy
0.5000 0.5000 0.5000 Ho
0.7500 0.7500 0.7500 Sc
0.2500 0.2500 0.2500 Rh
```

# 11
Computed, not measured: crystalline Tl2In2Br7 at its relaxed geometry at the PBE level of DFT.

DOS at the Fermi energy ... 0.466 states/eV/atom
E ... -2.760 eV per atom
Formation energy without anion corrections ... -0.77 eV per atom
Space group ... P2_1/c

The structure in POSCAR format:
```
Tl2In2Br7
1.0
7.0322 0.0000 0.0000
0.0000 16.7570 0.0000
-1.1076 0.0000 8.4584
Tl In Br
4 4 14
Direct
0.1234 0.1482 0.4014 Tl
0.1234 0.3518 0.9014 Tl
0.8766 0.6482 0.0986 Tl
0.8766 0.8518 0.5986 Tl
0.3474 0.6173 0.6652 In
0.3474 0.8827 0.1652 In
0.6526 0.1173 0.8348 In
0.6526 0.3827 0.3348 In
0.0658 0.6851 0.4806 Br
0.0658 0.8149 0.9806 Br
0.2053 0.5539 0.9065 Br
0.2053 0.9461 0.4065 Br
0.4005 0.2230 0.7134 Br
0.4005 0.2770 0.2134 Br
0.5000 0.0000 0.0000 Br
0.5000 0.5000 0.5000 Br
0.5995 0.7230 0.7866 Br
0.5995 0.7770 0.2866 Br
0.7947 0.0539 0.5935 Br
0.7947 0.4461 0.0935 Br
0.9342 0.1851 0.0194 Br
0.9342 0.3149 0.5194 Br
```

# 12
Computed, not measured: crystalline LiNb3Pd at its relaxed geometry at the PBE level of DFT.

DOS at the Fermi energy ... 2.017 states/eV/atom
Formation enthalpy at 0 K ... 1.32 eV per atom
Excess energy over the best structure of this formula in the dataset ... 170.0 kJ/mol of formula units
E ... -6.148 eV per atom
Space group ... Pm-3m

The structure in POSCAR format:
```
LiNb3Pd
1.0
4.9089 0.0000 0.0000
0.0000 4.9089 0.0000
0.0000 0.0000 4.9089
Li Nb Pd
1 3 1
Direct
0.0000 0.0000 0.0000 Li
0.0000 0.5000 0.5000 Nb
0.5000 0.0000 0.5000 Nb
0.5000 0.5000 0.0000 Nb
0.5000 0.5000 0.5000 Pd
```

# 13
Computed, not measured: crystalline Tb7CeDy12 at its relaxed geometry at the PBE level of DFT.

DOS at the Fermi energy ... 1.972 states/eV/atom
Formation enthalpy at 0 K ... 0.25 eV per atom
Excess energy over the best structure of this formula in the dataset ... 0.0 kJ/mol of formula units
E ... -4.429 eV per atom
Space group ... R-3

The structure in POSCAR format:
```
Tb7CeDy12
1.0
6.1557 3.5540 4.9451
-6.1557 3.5540 4.9451
0.0000 -7.1079 4.9451
Tb Ce Dy
7 1 12
Direct
0.0000 0.0000 0.0000 Tb
0.1735 0.5601 0.4669 Tb
0.4399 0.5331 0.8265 Tb
0.4669 0.1735 0.5601 Tb
0.5331 0.8265 0.4399 Tb
0.5601 0.4669 0.1735 Tb
0.8265 0.4399 0.5331 Tb
0.5000 0.5000 0.5000 Ce
0.0444 0.3748 0.1481 Dy
0.1277 0.2764 0.7338 Dy
0.1481 0.0444 0.3748 Dy
0.2662 0.8723 0.7236 Dy
0.2764 0.7338 0.1277 Dy
0.3748 0.1481 0.0444 Dy
0.6252 0.8519 0.9556 Dy
0.7236 0.2662 0.8723 Dy
0.7338 0.1277 0.2764 Dy
0.8519 0.9556 0.6252 Dy
0.8723 0.7236 0.2662 Dy
0.9556 0.6252 0.8519 Dy
```

# 14
Computed, not measured: crystalline FeP2Se at its relaxed geometry at the PBE level of DFT.

DOS at the Fermi energy ... 0.788 states/eV/atom
E ... -5.101 eV per atom
Formation energy without anion corrections ... 0.59 eV per atom
Space group ... F-43m

The structure in POSCAR format:
```
FeP2Se
1.0
0.0000 3.0744 3.0744
3.0744 0.0000 3.0744
3.0744 3.0744 0.0000
Fe P Se
1 2 1
Direct
0.0000 0.0000 0.0000 Fe
0.5000 0.5000 0.5000 P
0.7500 0.7500 0.7500 P
0.2500 0.2500 0.2500 Se
```

# 15
Computed, not measured: crystalline UTc4Ge4 at its relaxed geometry at the PBE level of DFT.

DOS at the Fermi energy ... 0.987 states/eV/atom
Formation enthalpy at 0 K ... 0.01 eV per atom
E ... -7.901 eV per atom
Space group ... P4_2/nmc

The structure in POSCAR format:
```
UTc4Ge4
1.0
6.2564 0.0000 0.0000
0.0000 6.2564 0.0000
0.0000 0.0000 8.0123
U Tc Ge
2 8 8
Direct
0.2500 0.7500 0.2500 U
0.7500 0.2500 0.7500 U
0.0067 0.7500 0.6169 Tc
0.2500 0.5067 0.8831 Tc
0.2500 0.9933 0.8831 Tc
0.4933 0.7500 0.6169 Tc
0.5067 0.2500 0.3831 Tc
0.7500 0.0067 0.1169 Tc
0.7500 0.4933 0.1169 Tc
0.9933 0.2500 0.3831 Tc
0.0519 0.2500 0.0769 Ge
0.2500 0.0519 0.5769 Ge
0.2500 0.4481 0.5769 Ge
0.4481 0.2500 0.0769 Ge
0.5519 0.7500 0.9231 Ge
0.7500 0.5519 0.4231 Ge
0.7500 0.9481 0.4231 Ge
0.9481 0.7500 0.9231 Ge
```

# 16
Computed, not measured: crystalline Mg14BW at its relaxed geometry at the PBE level of DFT.

DOS at the Fermi energy ... 0.428 states/eV/atom
Formation enthalpy at 0 K ... 0.23 eV per atom
Excess energy over the best structure of this formula in the dataset ... 0.0 kJ/mol of formula units
E ... -2.391 eV per atom
Space group ... Amm2

The structure in POSCAR format:
```
Mg14BW
1.0
9.0906 0.0000 0.0000
0.0000 3.8039 4.8053
0.0000 -3.8039 4.8053
Mg B W
14 1 1
Direct
0.0000 0.0000 0.0000 Mg
0.0000 0.4525 0.4525 Mg
0.0000 0.5205 0.9329 Mg
0.0000 0.9329 0.5205 Mg
0.2396 0.2313 0.2313 Mg
0.2784 0.6383 0.6383 Mg
0.3068 0.1185 0.7265 Mg
0.3068 0.7265 0.1185 Mg
0.5000 0.3931 0.9522 Mg
0.5000 0.9522 0.3931 Mg
0.6932 0.1185 0.7265 Mg
0.6932 0.7265 0.1185 Mg
0.7216 0.6383 0.6383 Mg
0.7604 0.2313 0.2313 Mg
0.5000 0.8020 0.8020 B
0.5000 0.4284 0.4284 W
```

# 17
Computed, not measured: crystalline MgTeIrSe2 at its relaxed geometry at the PBE level of DFT.

DOS at the Fermi energy ... 1.438 states/eV/atom
E ... -3.127 eV per atom
Formation energy without anion corrections ... 0.99 eV per atom
Space group ... P4/mmm

The structure in POSCAR format:
```
MgTeIrSe2
1.0
4.8024 0.0000 0.0000
0.0000 4.8024 0.0000
0.0000 0.0000 5.3340
Mg Te Ir Se
1 1 1 2
Direct
0.0000 0.0000 0.0000 Mg
0.0000 0.0000 0.5000 Te
0.5000 0.5000 0.5000 Ir
0.0000 0.5000 0.0000 Se
0.5000 0.0000 0.0000 Se
```

# 18
Computed, not measured: crystalline RbGe2Au2 at its relaxed geometry at the PBE level of DFT.

DOS at the Fermi energy ... 0.362 states/eV/atom
Formation enthalpy at 0 K ... 0.03 eV per atom
Excess energy over the best structure of this formula in the dataset ... 100.3 kJ/mol of formula units
E ... -3.320 eV per atom
Space group ... P4/mbm

The structure in POSCAR format:
```
RbGe2Au2
1.0
8.7023 0.0000 0.0000
0.0000 8.7023 0.0000
0.0000 0.0000 2.9934
Rb Ge Au
2 4 4
Direct
0.0000 0.0000 0.0000 Rb
0.5000 0.5000 0.0000 Rb
0.1343 0.3657 0.0000 Ge
0.3657 0.8657 0.0000 Ge
0.6343 0.1343 0.0000 Ge
0.8657 0.6343 0.0000 Ge
0.1482 0.6482 0.5000 Au
0.3518 0.1482 0.5000 Au
0.6482 0.8518 0.5000 Au
0.8518 0.3518 0.5000 Au
```

# 19
Computed, not measured: crystalline La2Nd5Ho4 at its relaxed geometry at the PBE level of DFT.

DOS at the Fermi energy ... 1.449 states/eV/atom
Formation enthalpy at 0 K ... 0.16 eV per atom
Excess energy over the best structure of this formula in the dataset ... 29.4 kJ/mol of formula units
E ... -4.565 eV per atom
Space group ... Immm

The structure in POSCAR format:
```
La2Nd5Ho4
1.0
-1.7754 4.6234 11.8717
1.7754 -4.6234 11.8717
1.7754 4.6234 -11.8717
La Nd Ho
2 5 4
Direct
0.2334 0.2334 0.0000 La
0.7666 0.7666 0.0000 La
0.1633 0.3588 0.8045 Nd
0.4456 0.6412 0.8045 Nd
0.5000 0.0000 0.5000 Nd
0.5544 0.3588 0.1955 Nd
0.8367 0.6412 0.1955 Nd
0.0971 0.0971 0.0000 Ho
0.1841 0.5000 0.6841 Ho
0.8159 0.5000 0.3159 Ho
0.9029 0.9029 0.0000 Ho
```

# 20
Computed, not measured: crystalline Pd2Pt4Rh5 at its relaxed geometry at the PBE level of DFT.

DOS at the Fermi energy ... 1.802 states/eV/atom
Formation enthalpy at 0 K ... 0.12 eV per atom
E ... -6.361 eV per atom
Space group ... P2/m

The structure in POSCAR format:
```
Pd2Pt4Rh5
1.0
6.9159 0.0000 0.0000
0.0000 2.7089 0.0000
-0.8126 0.0000 8.9376
Pd Pt Rh
2 4 5
Direct
0.0658 0.0000 0.1401 Pd
0.9342 0.0000 0.8599 Pd
0.1623 0.5000 0.4053 Pt
0.2997 0.5000 0.9412 Pt
0.7003 0.5000 0.0588 Pt
0.8377 0.5000 0.5947 Pt
0.2033 0.0000 0.6690 Rh
0.4398 0.0000 0.2099 Rh
0.5000 0.0000 0.5000 Rh
0.5602 0.0000 0.7901 Rh
0.7967 0.0000 0.3310 Rh
```